Material: GePN2O
Method: DFT, PBE
State: relaxed

a = 3.5853 Å, b = 3.5853 Å, c = 3.5036 Å
α = 90.00°, β = 90.00°, γ = 90.00°
Closest atoms and distances in Å follow each position.
Atoms (fractional coordinates):
N 0.5000 0.0000 0.0000  2 P 1.79
Ge 0.5000 0.5000 0.5000  8 N 2.51, 4 O 2.54
P 0.0000 0.0000 0.0000  2 O 1.75, 4 N 1.79
N 0.0000 0.5000 0.0000  2 P 1.79
O 0.0000 0.0000 0.5000  2 P 1.75

Formation energy from raw total energies, meV per atom: 277
Density, g cm⁻³: 5.44
Total energy, eV/f.u.: -30.3
Calculated volume, Å³/cell: 45.0
SG: P4/mmm